(1)
# V2GeAs | Alexandria | PBE | relaxed
# - energy of formation (eV per atom) = -0.07
# - excess energy over the best structure of this formula in the dataset (meV per atom) = 236.9
data_V2GeAs
_chemical_formula_sum 'V8 Ge4 As4'
_symmetry_space_group_name_H-M 'F m -3 m'
_symmetry_Int_Tables_number 225
_symmetry_space_group_name_Hall '-F 4 2 3'
_cell_length_a 6.1329
_cell_length_b 6.1329
_cell_length_c 6.1329
_cell_angle_alpha 90.00
_cell_angle_beta 90.00
_cell_angle_gamma 90.00
loop_
_atom_site_label
_atom_site_fract_x
_atom_site_fract_y
_atom_site_fract_z
V1 0.2500 0.2500 0.2500
Ge1 0.0000 0.0000 0.0000
As1 0.0000 0.0000 0.5000

---

(2)
# V3GeAs | Alexandria | PBE | relaxed
# - energy of formation (eV per atom) = -0.17
# - excess energy over the best structure of this formula in the dataset (meV per atom) = 0.0
data_V3GeAs
_chemical_formula_sum 'V24 Ge8 As8'
_symmetry_space_group_name_H-M 'C 1 2/c 1'
_symmetry_Int_Tables_number 15
_symmetry_space_group_name_Hall '-C 2yc'
_cell_length_a 13.3079
_cell_length_b 4.8340
_cell_length_c 9.0099
_cell_angle_alpha 90.00
_cell_angle_beta 101.47
_cell_angle_gamma 90.00
loop_
_atom_site_label
_atom_site_fract_x
_atom_site_fract_y
_atom_site_fract_z
V1 0.0594 0.2441 0.0270
V2 0.0933 0.4965 0.7796
V3 0.2039 0.0368 0.2760
Ge1 0.1412 0.2537 0.5354
As1 0.0000 0.0061 0.7500
As2 0.2500 0.2500 0.0000

---

(3)
# VGe2As | Alexandria | PBE | relaxed
# - energy of formation (eV per atom) = 0.11
data_VGe2As
_chemical_formula_sum 'V3 Ge6 As3'
_symmetry_space_group_name_H-M 'R -3 m'
_symmetry_Int_Tables_number 166
_symmetry_space_group_name_Hall '-R 3 2"'
_cell_length_a 2.9025
_cell_length_b 2.9025
_cell_length_c 28.5239
_cell_angle_alpha 90.00
_cell_angle_beta 90.00
_cell_angle_gamma 120.00
loop_
_atom_site_label
_atom_site_fract_x
_atom_site_fract_y
_atom_site_fract_z
V1 0.0000 0.0000 0.0000
Ge1 0.0000 0.0000 0.4046
As1 0.0000 0.0000 0.5000

---

(4)
# V6GeAs | Alexandria | PBE | relaxed
# - energy of formation (eV per atom) = -0.40
data_V6GeAs
_chemical_formula_sum 'V6 Ge1 As1'
_symmetry_space_group_name_H-M 'P m -3'
_symmetry_Int_Tables_number 200
_symmetry_space_group_name_Hall '-P 2 2 3'
_cell_length_a 4.7449
_cell_length_b 4.7449
_cell_length_c 4.7449
_cell_angle_alpha 90.00
_cell_angle_beta 90.00
_cell_angle_gamma 90.00
loop_
_atom_site_label
_atom_site_fract_x
_atom_site_fract_y
_atom_site_fract_z
V1 0.0000 0.2472 0.5000
Ge1 0.5000 0.5000 0.5000
As1 0.0000 0.0000 0.0000

---

(5)
# V5Ge2As | Alexandria | PBE | relaxed
# - energy of formation (eV per atom) = -0.34
data_V5Ge2As
_chemical_formula_sum 'V20 Ge8 As4'
_symmetry_space_group_name_H-M 'I 4/m c m'
_symmetry_Int_Tables_number 140
_symmetry_space_group_name_Hall '-I 4 2c'
_cell_length_a 6.2966
_cell_length_b 6.2966
_cell_length_c 11.2930
_cell_angle_alpha 90.00
_cell_angle_beta 90.00
_cell_angle_gamma 90.00
loop_
_atom_site_label
_atom_site_fract_x
_atom_site_fract_y
_atom_site_fract_z
V1 0.0000 0.0000 0.0000
V2 0.1605 0.3395 0.1567
Ge1 0.1396 0.3604 0.5000
As1 0.0000 0.0000 0.2500

---

(6)
# V4GeAs | Alexandria | PBE | relaxed
# - energy of formation (eV per atom) = 0.05
# - excess energy over the best structure of this formula in the dataset (meV per atom) = 0.0
data_V4GeAs
_chemical_formula_sum 'V8 Ge2 As2'
_symmetry_space_group_name_H-M 'C 1 2/m 1'
_symmetry_Int_Tables_number 12
_symmetry_space_group_name_Hall '-C 2y'
_cell_length_a 8.1988
_cell_length_b 3.1196
_cell_length_c 8.1662
_cell_angle_alpha 90.00
_cell_angle_beta 119.42
_cell_angle_gamma 90.00
loop_
_atom_site_label
_atom_site_fract_x
_atom_site_fract_y
_atom_site_fract_z
V1 0.1474 0.0000 0.3563
V2 0.1483 0.5000 0.8520
Ge1 0.0000 0.0000 0.0000
As1 0.0000 0.5000 0.5000

---

(7)
# V8Ge2As3 | Alexandria | PBE | relaxed
# - energy of formation (eV per atom) = 0.04
data_V8Ge2As3
_chemical_formula_sum 'V16 Ge4 As6'
_symmetry_space_group_name_H-M 'C 1 2/m 1'
_symmetry_Int_Tables_number 12
_symmetry_space_group_name_Hall '-C 2y'
_cell_length_a 11.9785
_cell_length_b 7.4867
_cell_length_c 5.2755
_cell_angle_alpha 90.00
_cell_angle_beta 112.58
_cell_angle_gamma 90.00
loop_
_atom_site_label
_atom_site_fract_x
_atom_site_fract_y
_atom_site_fract_z
V1 0.1269 0.0000 0.4619
V2 0.1592 0.1818 0.9679
V3 0.1720 0.5000 0.6558
Ge1 0.1761 0.5000 0.1482
As1 0.0000 0.0000 0.0000
As2 0.0000 0.2680 0.5000

---

(8)
# VGe2As | Alexandria | PBE | relaxed
# - energy of formation (eV per atom) = 0.47
data_VGe2As
_chemical_formula_sum 'V4 Ge8 As4'
_symmetry_space_group_name_H-M 'I -4 2 d'
_symmetry_Int_Tables_number 122
_symmetry_space_group_name_Hall 'I -4 2bw'
_cell_length_a 5.9021
_cell_length_b 5.9021
_cell_length_c 11.2165
_cell_angle_alpha 90.00
_cell_angle_beta 90.00
_cell_angle_gamma 90.00
loop_
_atom_site_label
_atom_site_fract_x
_atom_site_fract_y
_atom_site_fract_z
V1 0.0000 0.0000 0.0000
Ge1 0.2494 0.2500 0.1250
As1 0.0000 0.0000 0.5000

---

(9)
# V2GeAs | Alexandria | PBE | relaxed
# - energy of formation (eV per atom) = 0.54
# - excess energy over the best structure of this formula in the dataset (meV per atom) = 851.2
data_V2GeAs
_chemical_formula_sum 'V8 Ge4 As4'
_symmetry_space_group_name_H-M 'I -4 2 d'
_symmetry_Int_Tables_number 122
_symmetry_space_group_name_Hall 'I -4 2bw'
_cell_length_a 5.6738
_cell_length_b 5.6738
_cell_length_c 11.2589
_cell_angle_alpha 90.00
_cell_angle_beta 90.00
_cell_angle_gamma 90.00
loop_
_atom_site_label
_atom_site_fract_x
_atom_site_fract_y
_atom_site_fract_z
V1 0.2472 0.2500 0.1250
Ge1 0.0000 0.0000 0.5000
As1 0.0000 0.0000 0.0000

---

(10)
# VGeAs3 | Alexandria | PBE | relaxed
# - energy of formation (eV per atom) = 0.36
# - excess energy over the best structure of this formula in the dataset (meV per atom) = 0.0
data_VGeAs3
_chemical_formula_sum 'V1 Ge1 As3'
_symmetry_space_group_name_H-M 'P m -3 m'
_symmetry_Int_Tables_number 221
_symmetry_space_group_name_Hall '-P 4 2 3'
_cell_length_a 4.7587
_cell_length_b 4.7587
_cell_length_c 4.7587
_cell_angle_alpha 90.00
_cell_angle_beta 90.00
_cell_angle_gamma 90.00
loop_
_atom_site_label
_atom_site_fract_x
_atom_site_fract_y
_atom_site_fract_z
V1 0.0000 0.0000 0.0000
Ge1 0.5000 0.5000 0.5000
As1 0.0000 0.0000 0.5000

---

(11)
# V2GeAs | Alexandria | PBE | relaxed
# - energy of formation (eV per atom) = -0.31
# - excess energy over the best structure of this formula in the dataset (meV per atom) = 0.0
data_V2GeAs
_chemical_formula_sum 'V8 Ge4 As4'
_symmetry_space_group_name_H-M 'P 1 21/c 1'
_symmetry_Int_Tables_number 14
_symmetry_space_group_name_Hall '-P 2ybc'
_cell_length_a 6.4648
_cell_length_b 6.3158
_cell_length_c 5.9911
_cell_angle_alpha 90.00
_cell_angle_beta 90.01
_cell_angle_gamma 90.00
loop_
_atom_site_label
_atom_site_fract_x
_atom_site_fract_y
_atom_site_fract_z
V1 0.1225 0.1737 0.4939
V2 0.3705 0.6694 0.0019
Ge1 0.3801 0.0675 0.1761
As1 0.1288 0.5684 0.3158

---

(12)
# V12Ge3As | Alexandria | PBE | relaxed
# - energy of formation (eV per atom) = -0.37
data_V12Ge3As
_chemical_formula_sum 'V12 Ge3 As1'
_symmetry_space_group_name_H-M 'P m m m'
_symmetry_Int_Tables_number 47
_symmetry_space_group_name_Hall '-P 2 2'
_cell_length_a 4.7589
_cell_length_b 4.7594
_cell_length_c 9.4798
_cell_angle_alpha 90.00
_cell_angle_beta 90.00
_cell_angle_gamma 90.00
loop_
_atom_site_label
_atom_site_fract_x
_atom_site_fract_y
_atom_site_fract_z
V1 0.0000 0.0000 0.1242
V2 0.0000 0.0000 0.3754
V3 0.2504 0.5000 0.2511
V4 0.5000 0.2523 0.0000
V5 0.5000 0.2521 0.5000
Ge1 0.0000 0.5000 0.0000
Ge2 0.5000 0.0000 0.2500
As1 0.0000 0.5000 0.5000

---

Computed energy, in the same sequence as the records: -111.2 -299.6 -67.6 -67.2 -248.8 -90.9 -191.2 -84.5 -101.3 -25.9 -115.0 -133.8 eV for the cell shown.
Computed DOS(E_F), in the same sequence as the records: 3.2 4.5 2.5 10.9 6.4 6.0 8.3 3.2 7.3 4.7 2.5 26.6 states/eV/f.u..